Entry 1:
{"formula": "Cs2K6Rb3Na", "functional": "GGA-PBE", "state": "optimized geometry", "formation_energy_mev_per_atom": 20, "mass_density_g_cm3": 1.33, "volume_a3_per_atom": 81.0, "e_tot_ev_per_cell": -12.27, "cell": [[4.856, 0.000, 1.169], [0.000, 13.234, 0.000], [1.202, -6.617, 15.420]], "species": ["K", "K", "Cs", "Cs", "K", "K", "Rb", "Na", "K", "Rb", "K", "Rb"], "frac_coords": [[0.153, 0.115, 0.847], [0.847, 0.269, 0.153], [0.206, 0.650, 0.300], [0.794, 0.350, 0.700], [0.153, 0.731, 0.847], [0.162, 0.171, 0.342], [0.500, 0.000, 0.500], [0.500, 0.000, 0.000], [0.838, 0.829, 0.658], [0.000, 0.500, 0.000], [0.847, 0.885, 0.153], [0.500, 0.500, 0.500]]}


Entry 2:
{"formula": "Sm3Cd7Pd4", "functional": "GGA-PBE", "state": "optimized geometry", "formation_energy_mev_per_atom": -493, "mass_density_g_cm3": 8.89, "volume_a3_per_atom": 22.2, "e_tot_ev_per_cell": -48.23, "cell": [[-3.831, 2.238, -0.035], [-5.611, -5.256, -3.232], [-4.705, -3.543, 7.119]], "species": ["Sm", "Cd", "Cd", "Cd", "Sm", "Cd", "Pd", "Cd", "Sm", "Cd", "Pd", "Pd", "Pd", "Cd"], "frac_coords": [[0.701, 0.814, 0.785], [0.165, 0.605, 0.066], [0.676, 0.159, 0.490], [0.515, 0.785, 0.185], [0.299, 0.186, 0.215], [0.324, 0.841, 0.510], [0.341, 0.565, 0.753], [0.000, 0.000, 0.000], [0.000, 0.500, 0.500], [0.485, 0.215, 0.815], [0.890, 0.901, 0.320], [0.110, 0.099, 0.680], [0.659, 0.435, 0.247], [0.835, 0.395, 0.934]]}


Entry 3:
{"formula": "Li3Nd2ZrS6", "functional": "GGA-PBE", "state": "optimized geometry", "formation_energy_uncorrected_kcal_per_mol_atoms": -38.4, "mass_density_g_cm3": 3.97, "volume_a3_per_atom": 20.7, "e_tot_ev_per_cell": -68.57, "cell": [[-4.845, -3.736, -2.959], [6.354, -2.369, 0.439], [-1.840, -0.609, 6.309]], "species": ["Nd", "Nd", "Li", "S", "Li", "Zr", "S", "S", "S", "S", "Li", "S"], "frac_coords": [[0.668, 0.332, 0.000], [0.332, 0.668, 0.000], [0.500, 0.500, 0.500], [0.915, 0.606, 0.743], [0.848, 0.152, 0.500], [0.000, 0.000, 0.000], [0.085, 0.394, 0.257], [0.394, 0.085, 0.257], [0.606, 0.915, 0.743], [0.231, 0.231, 0.749], [0.152, 0.848, 0.500], [0.769, 0.769, 0.251]]}


Entry 4:
{"formula": "YCl", "functional": "GGA-PBE", "state": "optimized geometry", "formation_energy_uncorrected_kcal_per_mol_atoms": -30.2, "mass_density_g_cm3": 3.74, "volume_a3_per_atom": 27.6, "e_tot_ev_per_cell": -65.58, "cell": [[3.709, 0.000, 0.000], [0.000, 7.102, 0.000], [0.000, 0.000, 12.560]], "species": ["Y", "Cl", "Y", "Y", "Cl", "Cl", "Y", "Cl", "Cl", "Y", "Cl", "Y"], "frac_coords": [[0.000, 0.018, 0.132], [0.000, 0.712, 0.292], [0.000, 0.625, 0.500], [0.000, 0.018, 0.868], [0.500, 0.288, 0.208], [0.000, 0.688, 0.000], [0.500, 0.982, 0.368], [0.500, 0.312, 0.500], [0.500, 0.288, 0.792], [0.500, 0.375, 0.000], [0.000, 0.712, 0.708], [0.500, 0.982, 0.632]]}


Entry 5:
{"formula": "PrDy2Er5Sc", "functional": "GGA-PBE", "state": "optimized geometry", "formation_energy_mev_per_atom": 175, "mass_density_g_cm3": 7.96, "volume_a3_per_atom": 31.2, "e_tot_ev_per_cell": -83.11, "cell": [[5.546, 0.000, 0.000], [-2.773, 9.809, 0.000], [0.000, 0.000, 10.335]], "species": ["Er", "Er", "Er", "Pr", "Er", "Dy", "Dy", "Er", "Sc", "Er", "Er", "Dy", "Er", "Pr", "Dy", "Er", "Sc", "Er"], "frac_coords": [[0.520, 0.039, 0.238], [0.376, 0.753, 0.020], [0.018, 0.037, 0.021], [0.414, 0.828, 0.453], [0.298, 0.595, 0.706], [0.886, 0.772, 0.234], [0.114, 0.228, 0.734], [0.702, 0.405, 0.206], [0.197, 0.393, 0.014], [0.982, 0.963, 0.521], [0.277, 0.553, 0.323], [0.111, 0.223, 0.315], [0.723, 0.447, 0.823], [0.586, 0.172, 0.953], [0.889, 0.777, 0.815], [0.480, 0.961, 0.738], [0.803, 0.607, 0.514], [0.624, 0.247, 0.520]]}


Entry 6:
{"formula": "LiLa2SnBi", "functional": "GGA-PBE", "state": "optimized geometry", "formation_energy_mev_per_atom": -284, "mass_density_g_cm3": 6.82, "volume_a3_per_atom": 29.8, "e_tot_ev_per_cell": -21.07, "cell": [[5.629, 0.000, 0.000], [0.000, 5.629, 0.000], [0.000, 0.000, 4.703]], "species": ["Sn", "La", "Li", "La", "Bi"], "frac_coords": [[0.000, 0.000, 0.500], [0.500, 0.000, 0.000], [0.000, 0.000, 0.000], [0.000, 0.500, 0.000], [0.500, 0.500, 0.500]]}


Entry 7:
{"formula": "K2ReNi", "functional": "GGA-PBE", "state": "optimized geometry", "formation_energy_mev_per_atom": 1275, "mass_density_g_cm3": 6.53, "relative_energy_kj_per_mol_atoms": 49.28, "volume_a3_per_atom": 20.5, "e_tot_ev_per_cell": -15.32, "cell": [[2.725, 0.000, 0.000], [0.000, 2.725, 0.000], [0.000, 0.000, 11.058]], "species": ["K", "Re", "K", "Ni"], "frac_coords": [[0.000, 0.000, 0.012], [0.500, 0.500, 0.750], [0.000, 0.000, 0.488], [0.500, 0.500, 0.250]]}


Entry 8:
{"formula": "BaTlZn", "functional": "GGA-PBE", "state": "optimized geometry", "formation_energy_mev_per_atom": 179, "mass_density_g_cm3": 5.66, "relative_energy_kj_per_mol_atoms": 42.87, "volume_a3_per_atom": 39.8, "e_tot_ev_per_cell": -5.03, "cell": [[-0.633, -5.248, -1.621], [4.363, -2.886, -1.792], [2.049, -4.110, 3.079]], "species": ["Ba", "Tl", "Zn"], "frac_coords": [[0.750, 0.750, 0.750], [0.000, 0.000, 0.000], [0.500, 0.500, 0.500]]}